Record 1
Computed, not measured: a geometry-optimized AlFeAs structure at the PBE level of DFT.

The space group is I4mm (No. 107) and the conventional cell measures 2.8314, 2.8314 and 11.1427 Å, with angles of 90.00, 90.00 and 90.00 degrees. The asymmetric unit holds Al at (0.0000, 0.0000, 0.0000), Fe at (0.0000, 0.0000, 0.6360) and As at (0.0000, 0.0000, 0.2645).

The density of states at the Fermi level is 1.3 states/eV/f.u. The total energy comes out at -0.209 hartree per atom. The energy of formation from the pure elements is -0.070 eV per atom. The crystal system is tetragonal.

Record 2
Computed, not measured: a geometry-optimized Cs2Ba4H structure at the PBE level of DFT.

The space group is I4/mmm (No. 139) and the conventional cell measures 6.2071, 6.2071 and 24.4383 Å, with angles of 90.00, 90.00 and 90.00 degrees. The asymmetric unit holds Cs at (0.0000, 0.0000, 0.1766), Ba at (0.0000, 0.0000, 0.3844), Ba at (0.0000, 0.5000, 0.0000) and H at (0.0000, 0.0000, 0.5000).

The density of states at the Fermi level is 7.6 states/eV/f.u. The total energy comes out at -0.064 hartree per atom. The crystal system is tetragonal.

Record 3
Computed, not measured: a geometry-optimized HgMoAs2 structure at the PBE level of DFT.

The space group is Pm (No. 6) and the conventional cell measures 3.4991, 4.6263 and 5.0485 Å, with angles of 90.00, 110.19 and 90.00 degrees. The asymmetric unit holds Hg at (0.0000, 0.0000, 0.0000), Mo at (0.6042, 0.5000, 0.2087), As at (0.3074, 0.5000, 0.6167) and As at (0.7250, 0.0000, 0.4538).

The density of states at the Fermi level is 1.8 states/eV/f.u. The total energy comes out at -0.178 hartree per atom. The energy of formation from the pure elements is 0.277 eV per atom. The crystal system is monoclinic.